Entry 1:
A relaxed structure of Li2Cu2Mo3, computed with PBE.

extended XYZ file:
```
7
Lattice="2.1304 1.2300 6.2844 -2.1304 1.2300 6.2844 0.0000 -2.4600 6.2844" Properties=species:S:1:pos:R:3 pbc="T T T"
Li 0.0000 0.0000 0.0000
Li 0.0000 0.0000 7.9411
Cu 0.0000 0.0000 2.4602
Cu 0.0000 0.0000 13.3299
Mo 0.0000 0.0000 5.1137
Mo 0.0000 0.0000 10.6475
Mo 0.0000 0.0000 16.0382
```

---

Entry 2:
8
Lattice="4.4886 0.0000 0.0000 0.0000 4.4886 0.0000 0.0000 0.0000 7.2005" Properties=species:S:1:pos:R:3 comment="AcAsOsO (PBE, optimized geometry)" relative_energy_ev_per_fu=8.50 pbc="T T T"
Ac 1.1222 3.3665 0.0000
Ac 3.3665 1.1222 0.0000
As 1.1222 1.1222 2.1999
As 3.3665 3.3665 5.0006
Os 1.1222 1.1222 4.5862
Os 3.3665 3.3665 2.6142
O 1.1222 3.3665 3.6002
O 3.3665 1.1222 3.6002

---

Entry 3:
A relaxed structure of LaNdSi2Br2, computed with PBE.

extended XYZ file:
```
6
Lattice="4.1507 0.0000 0.0000 -2.0754 3.5946 0.0000 0.0000 0.0000 11.5648" Properties=species:S:1:pos:R:3 pbc="T T T"
La 0.0000 0.0000 0.0000
Nd 0.0000 0.0000 7.4866
Si 0.0000 2.3964 9.5700
Si 2.0754 1.1982 9.4218
Br 0.0000 2.3964 5.6070
Br 2.0754 1.1982 1.9399
```

---

Entry 4:
8
Lattice="3.9169 0.0000 0.0000 0.0000 3.9169 0.0000 0.0000 0.0000 9.0014" Properties=species:S:1:pos:R:3 comment="ZnSbAsO (PBE, optimized geometry)" relative_energy_ev_per_fu=0.28 pbc="T T T"
Zn 0.9792 2.9377 0.0000
Zn 2.9377 0.9792 0.0000
Sb 0.9792 0.9792 3.3155
Sb 2.9377 2.9377 5.6859
As 0.9792 0.9792 7.3553
As 2.9377 2.9377 1.6461
O 0.9792 2.9377 4.5007
O 2.9377 0.9792 4.5007

---

Entry 5:
9
Lattice="7.8018 0.0000 0.0000 -3.9009 6.7566 0.0000 0.0000 0.0000 3.9268" Properties=species:S:1:pos:R:3 comment="YCdAu (PBE, optimized geometry)" e_form_ev_per_atom=-0.68 pbc="T T T"
Y -1.5693 2.7181 0.0000
Y 3.1386 0.0000 0.0000
Y 2.3316 4.0385 0.0000
Cd -2.8741 4.9781 1.9634
Cd 1.0268 1.7785 1.9634
Cd 5.7482 0.0000 1.9634
Au 0.0000 0.0000 0.0000
Au 0.0000 4.5044 1.9634
Au 3.9009 2.2522 1.9634

---

Entry 6:
A relaxed structure of Dy7Co6Sn23, computed with PBE.

extended XYZ file:
```
36
Lattice="10.1844 0.0000 0.0000 -5.0922 8.8200 0.0000 0.0000 0.0000 10.7304" Properties=species:S:1:pos:R:3 pbc="T T T"
Dy 0.0000 0.0000 0.0000
Dy -2.1005 4.6673 3.1507
Dy 2.1005 4.6673 3.1507
Dy 0.0000 8.3054 3.1507
Dy 5.0922 0.5146 7.5798
Dy 2.9917 4.1527 7.5798
Dy 7.1927 4.1527 7.5798
Co 0.0000 3.4799 1.5895
Co -2.0786 7.0800 1.5895
Co 3.0137 1.7399 9.1409
Co 2.0786 7.0800 1.5895
Co 7.1708 1.7399 9.1409
Co 5.0922 5.3401 9.1409
Sn 0.0000 0.0000 5.3652
Sn -1.7645 3.0562 0.0000
Sn -3.3277 5.7638 0.0000
Sn 0.0000 1.8825 3.2712
Sn -3.4619 7.8787 3.2712
Sn 1.6303 0.9412 7.4592
Sn 0.0000 4.0380 5.9544
Sn -1.5952 6.8010 5.9544
Sn 0.0000 5.8800 1.0065
Sn 0.0000 5.8800 8.4936
Sn 3.5290 0.0000 0.0000
Sn 1.7645 3.0562 0.0000
Sn 3.4970 2.0190 4.7760
Sn 1.5952 6.8010 5.9544
Sn 6.6554 0.0000 0.0000
Sn 3.3277 5.7638 0.0000
Sn 5.0922 2.9400 2.2368
Sn 5.0922 2.9400 9.7240
Sn 6.6874 2.0190 4.7760
Sn 5.0922 4.7820 4.7760
Sn 3.4619 7.8787 3.2712
Sn 8.5542 0.9412 7.4592
Sn 5.0922 6.9375 7.4592
```

---

Entry 7:
4
Lattice="0.0000 2.8346 2.8346 2.8346 0.0000 2.8346 2.8346 2.8346 0.0000" Properties=species:S:1:pos:R:3 comment="BeNbCuB (PBE, optimized geometry)" relative_energy_ev_per_fu=1.77 pbc="T T T"
Be 0.0000 0.0000 0.0000
Nb 1.4173 1.4173 1.4173
Cu 2.8346 2.8346 2.8346
B 4.2518 4.2518 4.2518

---

Entry 8:
A relaxed structure of Ho2BeCuSi2, computed with PBE.

extended XYZ file:
```
6
Lattice="3.9591 0.0000 0.0000 -1.9795 3.4287 0.0000 0.0000 0.0000 7.9229" Properties=species:S:1:pos:R:3 pbc="T T T"
Ho 0.0000 0.0000 1.9797
Ho 0.0000 0.0000 5.9432
Be 1.9795 1.1429 0.0000
Cu 0.0000 2.2858 3.9614
Si 0.0000 2.2858 0.0000
Si 1.9795 1.1429 3.9614
```

---

Entry 9:
A relaxed structure of La2PrCu2Ge4Pt2, computed with PBE.

extended XYZ file:
```
11
Lattice="-2.1398 2.1492 12.4931 2.1398 -2.1492 12.4931 2.1398 2.1492 -12.4931" Properties=species:S:1:pos:R:3 pbc="T T T"
La 0.0000 0.0000 3.7039
La 0.0000 0.0000 21.2823
Pr 2.1398 0.0000 0.0000
Cu 0.0000 0.0000 10.1112
Cu 0.0000 0.0000 14.8750
Ge 0.0000 0.0000 7.6738
Ge 2.1398 0.0000 11.2189
Ge 0.0000 2.1492 1.2742
Ge 0.0000 0.0000 17.3125
Pt 2.1398 0.0000 6.2216
Pt 0.0000 2.1492 6.2715
```

---

Entry 10:
A relaxed structure of PrSmNi2As2, computed with PBE.

extended XYZ file:
```
6
Lattice="4.1134 0.0000 0.0000 -2.0567 3.5623 0.0000 0.0000 0.0000 8.0687" Properties=species:S:1:pos:R:3 pbc="T T T"
Pr 0.0000 0.0000 0.0000
Sm 0.0000 0.0000 4.0344
Ni 0.0000 2.3749 6.0226
Ni 2.0567 1.1874 2.0461
As 0.0000 2.3749 2.0672
As 2.0567 1.1874 6.0015
```

---

Entry 11:
A relaxed structure of Lu2Zr4Zn3C3, computed with PBE.

extended XYZ file:
```
24
Lattice="5.0189 -2.9024 0.0000 5.0189 2.9024 0.0000 -3.4269 0.0000 14.5296" Properties=species:S:1:pos:R:3 pbc="T T T"
Lu 2.4899 2.4308 8.7933
Lu 2.4076 2.4308 13.0010
Lu 4.2033 -2.4308 1.5286
Lu 4.1210 -2.4308 5.7362
Zr 2.4755 0.4705 1.2143
Zr 2.4748 0.5199 6.0503
Zr 0.7621 -0.4705 8.4790
Zr 0.7613 -0.5199 13.3151
Zr 5.8496 0.5199 1.2145
Zr 5.8488 0.4705 6.0505
Zr 4.1361 -0.5199 8.4793
Zr 4.1353 -0.4705 13.3153
Zn -0.1485 0.9044 10.8960
Zn 1.5649 -0.9044 3.6312
Zn 4.1622 0.4177 3.6324
Zn 2.4487 -0.4177 10.8972
Zn 5.0459 0.9044 10.8983
Zn 6.7594 -0.9044 3.6336
C 0.7960 1.4512 7.2648
C 4.1664 1.4245 0.0000
C 4.1579 1.4245 7.2648
C 2.5094 -1.4512 0.0000
C 2.4530 -1.4245 7.2648
C 5.8713 -1.4245 0.0000
```

---

Entry 12:
A relaxed structure of Nd2S, computed with PBE.

extended XYZ file:
```
3
Lattice="0.0000 3.4230 3.4230 3.4230 0.0000 3.4230 3.4230 3.4230 0.0000" Properties=species:S:1:pos:R:3 pbc="T T T"
Nd 1.7115 1.7115 1.7115
Nd 5.1345 5.1345 5.1345
S 0.0000 0.0000 0.0000
```

---

Entry 13:
8
Lattice="4.1180 0.0000 0.0000 0.0000 6.8728 0.0000 0.0000 0.0000 5.6992" Properties=species:S:1:pos:R:3 comment="HoScPO (PBE, optimized geometry)" relative_energy_ev_per_fu=0.26 pbc="T T T"
Ho 0.0000 1.3871 0.0000
Ho 0.0000 5.4857 2.8496
Sc 2.0590 2.6590 3.3459
Sc 2.0590 4.2138 0.4963
P 0.0000 1.3156 2.8050
P 0.0000 5.5572 5.6546
O 2.0590 2.3073 5.3888
O 2.0590 4.5655 2.5392

---

Entry 14:
A relaxed structure of CuPbW4N2, computed with PBE.

extended XYZ file:
```
8
Lattice="2.9110 0.0000 0.0000 -1.4555 2.5210 0.0000 0.0000 0.0000 15.4157" Properties=species:S:1:pos:R:3 pbc="T T T"
Cu 0.0000 0.0000 0.0000
Pb 0.0000 1.6807 7.7078
W 0.0000 0.0000 4.8918
W 0.0000 0.0000 10.5239
W 0.0000 1.6807 2.1336
W 0.0000 1.6807 13.2820
N 1.4555 0.8403 3.5313
N 1.4555 0.8403 11.8844
```

---

Entry 15:
1
Lattice="2.1924 1.2658 1.0564 -2.1924 1.2658 1.0564 0.0000 -2.5316 1.0564" Properties=species:S:1:pos:R:3 comment="Nb (PBE, optimized geometry)" e_form_ev_per_atom=0.08 relative_energy_ev_per_fu=0.08 pbc="T T T"
Nb 0.0000 0.0000 0.0000

---

Entry 16:
5
Lattice="-2.2843 2.2843 6.3222 2.2843 -2.2843 6.3222 2.2843 2.2843 -6.3222" Properties=species:S:1:pos:R:3 comment="PrAg2Pb2 (PBE, optimized geometry)" relative_energy_ev_per_fu=0.00 pbc="T T T"
Pr 0.0000 0.0000 0.0000
Ag 2.2843 0.0000 3.1611
Ag 0.0000 2.2843 3.1611
Pb 0.0000 0.0000 4.8615
Pb 0.0000 0.0000 7.7829

---

Entry 17:
3
Lattice="0.0000 3.1522 3.1522 3.1522 0.0000 3.1522 3.1522 3.1522 0.0000" Properties=species:S:1:pos:R:3 comment="TlSiPt (PBE, optimized geometry)" relative_energy_ev_per_fu=0.00 pbc="T T T"
Tl 0.0000 0.0000 0.0000
Si 3.1522 3.1522 3.1522
Pt 4.7283 4.7283 4.7283

---

Entry 18:
20
Lattice="8.5768 0.0000 0.0000 0.0000 8.5768 0.0000 0.0000 0.0000 8.5768" Properties=species:S:1:pos:R:3 comment="Ho (PBE, optimized geometry)" e_form_ev_per_atom=0.19 relative_energy_ev_per_fu=0.19 pbc="T T T"
Ho 0.3779 1.0721 6.8105
Ho 0.5103 8.0665 3.7781
Ho 1.0721 6.8105 0.3779
Ho 1.6339 1.6339 1.6339
Ho 1.7663 4.6663 3.2163
Ho 2.5221 3.9105 7.5047
Ho 2.6545 6.9429 5.9223
Ho 3.2163 1.7663 4.6663
Ho 3.7781 0.5103 8.0665
Ho 3.9105 7.5047 2.5221
Ho 4.6663 3.2163 1.7663
Ho 4.7987 4.7987 4.7987
Ho 5.3605 6.0547 8.1989
Ho 5.9223 2.6545 6.9429
Ho 6.0547 8.1989 5.3605
Ho 6.8105 0.3779 1.0721
Ho 6.9429 5.9223 2.6545
Ho 7.5047 2.5221 3.9105
Ho 8.0665 3.7781 0.5103
Ho 8.1989 5.3605 6.0547

---

Entry 19:
A relaxed structure of HoFeSi2Os, computed with PBE.

extended XYZ file:
```
5
Lattice="-2.0202 2.0202 4.8421 2.0202 -2.0202 4.8421 2.0202 2.0202 -4.8421" Properties=species:S:1:pos:R:3 pbc="T T T"
Ho 0.0000 0.0000 0.0000
Fe 0.0000 2.0202 2.4211
Si 0.0000 0.0000 3.6070
Si 0.0000 0.0000 6.0772
Os 2.0202 0.0000 2.4211
```

---

Entry 20:
A relaxed structure of CuNi2Se3, computed with PBE.

extended XYZ file:
```
12
Lattice="6.9395 0.0000 0.0000 0.0000 3.4823 0.0000 -2.1927 0.0000 9.1833" Properties=species:S:1:pos:R:3 pbc="T T T"
Cu 0.5329 0.8706 0.7773
Cu 4.2140 2.6118 8.4060
Ni 1.3194 2.6118 2.7201
Ni 1.8016 2.6118 5.2924
Ni 2.9453 0.8706 3.8910
Ni 3.4275 0.8706 6.4632
Se -1.3086 0.8706 7.5155
Se 0.5246 0.8706 4.3535
Se 2.7582 0.8706 1.6279
Se 1.9887 2.6118 7.5554
Se 4.2222 2.6118 4.8298
Se 6.0554 2.6118 1.6678
```

---

Entry 21:
8
Lattice="4.3514 0.0000 0.0000 0.0000 4.3514 0.0000 0.0000 0.0000 6.1924" Properties=species:S:1:pos:R:3 comment="ZrTaZn2Co2Ir2 (PBE, optimized geometry)" e_form_ev_per_atom=-0.42 pbc="T T T"
Zr 0.0000 0.0000 0.0000
Ta 2.1757 2.1757 3.0962
Zn 0.0000 0.0000 3.0962
Zn 2.1757 2.1757 0.0000
Co 0.0000 2.1757 4.5783
Co 2.1757 0.0000 1.6140
Ir 0.0000 2.1757 1.6133
Ir 2.1757 0.0000 4.5790

---

Entry 22:
A relaxed structure of Y3Al3Ni2Pd, computed with PBE.

extended XYZ file:
```
9
Lattice="7.0806 0.0000 0.0000 -3.5403 6.1320 0.0000 0.0000 0.0000 3.8980" Properties=species:S:1:pos:R:3 pbc="T T T"
Y -1.4920 2.5843 0.0000
Y 2.9840 0.0000 0.0000
Y 2.0483 3.5478 0.0000
Al -2.6685 4.6220 1.9490
Al 0.8718 1.5100 1.9490
Al 5.3370 0.0000 1.9490
Ni 0.0000 4.0880 1.9490
Ni 3.5403 2.0440 1.9490
Pd 0.0000 0.0000 0.0000
```

---

Entry 23:
5
Lattice="3.8681 0.0000 0.0000 0.0000 1.9849 6.9543 0.0000 -1.9849 6.9543" Properties=species:S:1:pos:R:3 comment="PrNdAlNi2 (PBE, optimized geometry)" relative_energy_ev_per_fu=0.19 pbc="T T T"
Pr 0.0000 0.0000 0.0000
Nd 0.0000 0.0000 3.6371
Al 1.9340 0.0000 8.7870
Ni 1.9340 0.0000 6.0340
Ni 1.9340 0.0000 11.4811

---

no.,E_tot (Ha/atom),calculated density (g/cm3)
1,-0.2189,7.21
2,-0.2132,11.63
3,-0.1939,4.80
4,-0.1551,6.69
5,-0.1550,9.59
6,-0.1749,7.27
7,-0.1965,6.43
8,-0.1912,7.08
9,-0.2041,8.86
10,-0.2218,7.84
11,-0.2472,7.43
12,-0.2021,6.64
13,-0.2710,5.29
14,-0.3303,15.18
15,-0.3682,8.77
16,-0.1369,9.70
17,-0.1691,11.33
18,-0.1613,8.68
19,-0.2823,9.81
20,-0.1613,6.25
21,-0.2674,12.82
22,-0.2165,5.61
23,-0.1939,6.68